(1)
Below is Dy2CrOs3 after structural relaxation, with properties calculated at the GGA-PBE level.

Unit cell a=5.4044 b=5.4044 c=8.3749 alpha=90.00 beta=90.00 gamma=120.00
Last column: nearest neighbours and their distance in Å.
Sites, in units of the cell vectors:
Os  0.8307  0.1693  0.7500  2 Cr 2.63, 4 Os 2.66-2.74
Os  0.6614  0.8307  0.2500  2 Cr 2.63, 4 Os 2.66-2.74
Dy  0.3333  0.6667  0.9353  9 Os 3.05-3.12, 4 Dy 3.10-3.30, 3 Cr 3.17
Os  0.8307  0.6614  0.7500  2 Cr 2.63, 4 Os 2.66-2.74
Cr  0.0000  0.0000  0.5000  6 Os 2.63
Cr  0.0000  0.0000  0.0000  6 Os 2.63
Dy  0.3333  0.6667  0.5647  9 Os 3.05-3.12, 4 Dy 3.10-3.30, 3 Cr 3.17
Dy  0.6667  0.3333  0.0647  9 Os 3.05-3.12, 4 Dy 3.10-3.30, 3 Cr 3.17
Os  0.1693  0.8307  0.2500  2 Cr 2.63, 4 Os 2.66-2.74
Os  0.1693  0.3386  0.2500  2 Cr 2.63, 4 Os 2.66-2.74
Os  0.3386  0.1693  0.7500  2 Cr 2.63, 4 Os 2.66-2.74
Dy  0.6667  0.3333  0.4353  9 Os 3.05-3.12, 4 Dy 3.10-3.30, 3 Cr 3.17

Electronic total energy, eV per atom: -8.982
Space group: P6_3/mmc
DFT formation energy, eV/atom: -0.2289

---

(2)
Below is DyCrP2 after structural relaxation, with properties calculated at the GGA-PBE level.

Unit cell a=3.7853 b=3.7853 c=6.1711 alpha=72.14 beta=72.14 gamma=60.00
Last column: nearest neighbours and their distance in Å.
Sites, in units of the cell vectors:
Dy  0.5000  0.5000  0.5000  6 P 2.78
Cr  0.0000  0.0000  0.0000  6 P 2.48
P  0.2659  0.2659  0.2024  3 Cr 2.48
P  0.7341  0.7341  0.7976  3 Cr 2.48

Electronic total energy, eV per atom: -7.169
Space group: R-3m
DFT formation energy, eV/atom: -0.9074

---

(3)
Below is DyCrP2Ru after structural relaxation, with properties calculated at the GGA-PBE level.

Unit cell a=4.0187 b=4.0187 c=5.5876 alpha=111.08 beta=111.08 gamma=90.00
Last column: nearest neighbours and their distance in Å.
Sites, in units of the cell vectors:
Cr  0.7500  0.2500  0.5000  4 P 2.34
Ru  0.2500  0.7500  0.5000  4 P 2.34
P  0.3740  0.3740  0.7480  2 Cr 2.34, 2 Ru 2.34, 1 P 2.42
Dy  0.0000  0.0000  0.0000  8 P 3.09, 4 Cr 3.13, 4 Ru 3.13
P  0.6260  0.6260  0.2520  2 Cr 2.34, 2 Ru 2.34, 1 P 2.42

Electronic total energy, eV per atom: -7.754
Space group: I-4m2
DFT formation energy, eV/atom: -0.8899

---

(4)
Below is DyPaCrSe6 after structural relaxation, with properties calculated at the GGA-PBE level.

Unit cell a=6.0691 b=6.7675 c=6.7675 alpha=120.00 beta=90.00 gamma=90.00
Last column: nearest neighbours and their distance in Å.
Sites, in units of the cell vectors:
Se  0.7461  0.0091  0.3080  1 Cr 2.54, 1 Pa 2.78, 1 Dy 2.83
Dy  0.5000  0.6667  0.3333  6 Se 2.83
Se  0.2539  0.6920  0.9909  1 Cr 2.54, 1 Pa 2.78, 1 Dy 2.83
Cr  0.5000  0.0000  0.0000  6 Se 2.54
Se  0.7461  0.2989  0.9909  1 Cr 2.54, 1 Pa 2.78, 1 Dy 2.83
Se  0.2539  0.0091  0.7011  1 Cr 2.54, 1 Pa 2.78, 1 Dy 2.83
Pa  0.0000  0.3333  0.6667  6 Se 2.78
Se  0.2539  0.2989  0.3080  1 Cr 2.54, 1 Pa 2.78, 1 Dy 2.83
Se  0.7461  0.6920  0.7011  1 Cr 2.54, 1 Pa 2.78, 1 Dy 2.83

Electronic total energy, eV per atom: -5.954
E_form (uncorrected), eV per formula unit: -9.0
Space group: P312

---

(5)
Below is Dy2CrPt9 after structural relaxation, with properties calculated at the GGA-PBE level.

Unit cell a=4.0524 b=4.0524 c=12.1841 alpha=90.00 beta=90.00 gamma=90.00
Last column: nearest neighbours and their distance in Å.
Sites, in units of the cell vectors:
Pt  0.5000  0.0000  0.5000  8 Pt 2.87-2.92, 4 Dy 2.90
Pt  0.5000  0.5000  0.6728  4 Dy 2.87, 8 Pt 2.92-2.93
Cr  0.0000  0.0000  0.0000  12 Pt 2.76-2.87
Pt  0.5000  0.5000  0.0000  8 Pt 2.76, 4 Cr 2.87
Dy  0.0000  0.0000  0.3295  12 Pt 2.87-2.95
Pt  0.0000  0.5000  0.8463  8 Pt 2.76-2.93, 2 Cr 2.76, 2 Dy 2.95
Pt  0.0000  0.5000  0.5000  8 Pt 2.87-2.92, 4 Dy 2.90
Pt  0.0000  0.5000  0.1537  2 Cr 2.76, 8 Pt 2.76-2.93, 2 Dy 2.95
Dy  0.0000  0.0000  0.6705  12 Pt 2.87-2.95
Pt  0.5000  0.0000  0.1537  2 Cr 2.76, 8 Pt 2.76-2.93, 2 Dy 2.95
Pt  0.5000  0.0000  0.8463  8 Pt 2.76-2.93, 2 Cr 2.76, 2 Dy 2.95
Pt  0.5000  0.5000  0.3272  4 Dy 2.87, 8 Pt 2.92-2.93

Electronic total energy, eV per atom: -6.855
Space group: P4/mmm
DFT formation energy, eV/atom: -0.7552

---

(6)
Below is Dy3CrPt12 after structural relaxation, with properties calculated at the GGA-PBE level.

Unit cell a=4.0700 b=4.0700 c=16.2949 alpha=90.00 beta=90.00 gamma=90.00
Last column: nearest neighbours and their distance in Å.
Sites, in units of the cell vectors:
Pt  0.5000  0.0000  0.6279  8 Pt 2.88-2.93, 4 Dy 2.90-2.91
Pt  0.5000  0.5000  0.0000  8 Pt 2.76, 4 Cr 2.88
Dy  0.0000  0.0000  0.2456  12 Pt 2.88-2.95
Pt  0.5000  0.5000  0.7569  4 Dy 2.88, 8 Pt 2.92-2.93
Pt  0.0000  0.5000  0.3721  8 Pt 2.88-2.93, 4 Dy 2.90-2.91
Pt  0.0000  0.5000  0.8857  2 Cr 2.76, 8 Pt 2.76-2.92, 2 Dy 2.95
Dy  0.0000  0.0000  0.7544  12 Pt 2.88-2.95
Pt  0.5000  0.5000  0.5000  4 Dy 2.88, 8 Pt 2.91
Pt  0.0000  0.5000  0.6279  8 Pt 2.88-2.93, 4 Dy 2.90-2.91
Dy  0.0000  0.0000  0.5000  12 Pt 2.88-2.91
Pt  0.0000  0.5000  0.1143  2 Cr 2.76, 8 Pt 2.76-2.92, 2 Dy 2.95
Pt  0.5000  0.5000  0.2431  4 Dy 2.88, 8 Pt 2.92-2.93
Cr  0.0000  0.0000  0.0000  12 Pt 2.76-2.88
Pt  0.5000  0.0000  0.1143  2 Cr 2.76, 8 Pt 2.76-2.92, 2 Dy 2.95
Pt  0.5000  0.0000  0.8857  2 Cr 2.76, 8 Pt 2.76-2.92, 2 Dy 2.95
Pt  0.5000  0.0000  0.3721  8 Pt 2.88-2.93, 4 Dy 2.90-2.91

Electronic total energy, eV per atom: -6.817
Space group: P4/mmm
DFT formation energy, eV/atom: -0.8224

---

(7)
Below is Dy2CrSi4Pt3 after structural relaxation, with properties calculated at the GGA-PBE level.

Unit cell a=4.1022 b=4.1022 c=10.1970 alpha=90.00 beta=90.00 gamma=90.00
Last column: nearest neighbours and their distance in Å.
Sites, in units of the cell vectors:
Si  0.5000  0.5000  0.0000  4 Pt 2.43
Si  0.0000  0.5000  0.3651  3 Pt 2.42-2.47, 2 Cr 2.47
Pt  0.5000  0.0000  0.8725  5 Si 2.42-2.43
Dy  0.5000  0.0000  0.2502  8 Si 3.13-3.27, 6 Pt 3.16-3.27, 2 Cr 3.27
Dy  0.0000  0.5000  0.7498  8 Si 3.13-3.27, 6 Pt 3.16-3.27, 2 Cr 3.27
Si  0.5000  0.0000  0.6349  3 Pt 2.42-2.47, 2 Cr 2.47
Cr  0.5000  0.5000  0.5000  4 Si 2.47
Pt  0.0000  0.0000  0.5000  4 Si 2.47
Pt  0.0000  0.5000  0.1275  5 Si 2.42-2.43
Si  0.0000  0.0000  0.0000  4 Pt 2.43

Electronic total energy, eV per atom: -6.830
E_form (uncorrected), eV per formula unit: -9.7
Space group: P-4m2

---

(8)
Below is Rb3Dy2CrSe6 after structural relaxation, with properties calculated at the GGA-PBE level.

Unit cell a=7.1423 b=7.1423 c=8.3123 alpha=98.28 beta=98.28 gamma=120.04
Last column: nearest neighbours and their distance in Å.
Sites, in units of the cell vectors:
Se  0.7544  0.7544  0.1889  1 Cr 2.67, 2 Dy 2.89
Rb  0.8282  0.1718  0.5000  6 Se 3.40-3.53
Se  0.9377  0.6286  0.8131  1 Cr 2.66, 2 Dy 2.89
Dy  0.6661  0.3339  0.0000  6 Se 2.89
Cr  0.0000  0.0000  0.0000  6 Se 2.66-2.67
Dy  0.3339  0.6661  0.0000  6 Se 2.89
Se  0.2456  0.2456  0.8111  1 Cr 2.67, 2 Dy 2.89
Se  0.6286  0.9377  0.8131  1 Cr 2.66, 2 Dy 2.89
Se  0.0623  0.3714  0.1869  1 Cr 2.66, 2 Dy 2.89
Rb  0.1718  0.8282  0.5000  6 Se 3.40-3.53
Rb  0.5000  0.5000  0.5000  6 Se 3.39-3.56
Se  0.3714  0.0623  0.1869  1 Cr 2.66, 2 Dy 2.89

Electronic total energy, eV per atom: -4.934
E_form (uncorrected), eV per formula unit: -16.6
Space group: C2/m

---

Which formula does entry 3 have? DyCrP2Ru

---

Copy entry 3 word for word.
Below is DyCrP2Ru after structural relaxation, with properties calculated at the GGA-PBE level.

Unit cell a=4.0187 b=4.0187 c=5.5876 alpha=111.08 beta=111.08 gamma=90.00
Last column: nearest neighbours and their distance in Å.
Sites, in units of the cell vectors:
Cr  0.7500  0.2500  0.5000  4 P 2.34
Ru  0.2500  0.7500  0.5000  4 P 2.34
P  0.3740  0.3740  0.7480  2 Cr 2.34, 2 Ru 2.34, 1 P 2.42
Dy  0.0000  0.0000  0.0000  8 P 3.09, 4 Cr 3.13, 4 Ru 3.13
P  0.6260  0.6260  0.2520  2 Cr 2.34, 2 Ru 2.34, 1 P 2.42

Electronic total energy, eV per atom: -7.754
Space group: I-4m2
DFT formation energy, eV/atom: -0.8899

---

Which of these has the lowest electronic total energy? Dy2CrOs3

---

Which value of electronic total energy does entry 1 give? -8.982 eV per atom